# 1
## ZrO3 (GGA-PBE)

Data for a relaxed ZrO3 crystal. Values from VASP.

Computed properties:
Energy above the lowest structure with this stoichiometry = 278 meV/atom

Geometry as Quantum ESPRESSO input:
```
&SYSTEM
  ibrav = 0, nat = 8, ntyp = 2
/
ATOMIC_SPECIES
O 16.00 O.upf
Zr 91.22 Zr.upf
CELL_PARAMETERS angstrom
-2.692 -6.229 0.312
-2.693 6.229 0.311
2.136 0.000 -3.072
ATOMIC_POSITIONS crystal
O 0.265 0.241 0.246
O 0.583 0.917 0.253
O 0.900 0.593 0.254
O 0.407 0.099 0.746
O 0.083 0.417 0.747
O 0.760 0.735 0.754
Zr 0.190 0.809 0.000
Zr 0.975 0.025 0.500
```



# 2
## SrPt2 (GGA-PBE)

Data for a relaxed SrPt2 crystal. Values from VASP.

Geometry as Quantum ESPRESSO input:
```
&SYSTEM
  ibrav = 0, nat = 6, ntyp = 2
/
ATOMIC_SPECIES
Pt 195.08 Pt.upf
Sr 87.62 Sr.upf
CELL_PARAMETERS angstrom
0.000 3.920 3.920
3.920 0.000 3.920
3.920 3.920 0.000
ATOMIC_POSITIONS crystal
Pt 0.625 0.625 0.125
Pt 0.625 0.125 0.625
Pt 0.125 0.625 0.625
Pt 0.625 0.625 0.625
Sr 0.000 0.000 0.000
Sr 0.250 0.250 0.250
```



Calculated total energy, -7.74; -5.46 eV per atom (same order as the records).
Calculated calculated density, 4.88; 13.17 g/cm³ (same order as the records).